This record from Alexandria via LeMat-Bulk describes Ce2ErAgC after structural relaxation. The functional is GGA-PBE.

Cell and atoms, written as CIF:
```
data_Ce2ErAgC
_chemical_formula_sum 'Ce2 Er1 Ag1 C1'
_cell_length_a 4.9348
_cell_length_b 4.9348
_cell_length_c 4.8730
_cell_angle_alpha 90.00
_cell_angle_beta 90.00
_cell_angle_gamma 90.00
_space_group_name_H-M_alt 'P 4/m m m'
_space_group_IT_number 123
_space_group_name_Hall '-P 4 2'
loop_
_atom_site_label
_atom_site_type_symbol
_atom_site_fract_x
_atom_site_fract_y
_atom_site_fract_z
_atom_site_occupancy
Ce1 Ce 0.0000 0.5000 0.0000 1
Er1 Er 0.0000 0.0000 0.5000 1
Ag1 Ag 0.5000 0.5000 0.5000 1
C1 C 0.0000 0.0000 0.0000 1
```

Results
Energy relative to the elements = -0.10 eV per atom
Uncorrected energy = -5.8048 eV per atom